Material: KMnSbTe2
Method: DFT, PBE
State: optimized geometry

Output
Formation energy from raw total energies: -0.149 eV/atom
Spin magnetization: 3.446 μB per formula unit
Raw total energy: -4.284 eV per atom
V: 31.24 A^3/atom

Geometry as extended XYZ:
```
5
Lattice="5.515 0.000 0.000 0.000 5.515 0.000 0.000 0.000 5.135" Properties=species:S:1:pos:R:3 pbc="T T T"
K 0.000 0.000 0.000
Mn 2.758 2.758 2.567
Sb 2.758 2.758 0.000
Te 0.000 2.758 2.567
Te 2.758 0.000 2.567
```

=====

Material: KScMn
Method: DFT, PBE
State: optimized geometry

Output
Formation energy: 53.5 kJ per mole of atoms
Spin magnetization: 2.892 μB per formula unit
Raw total energy: -4.978 eV per atom
V: 28.37 A^3/atom

Geometry as extended XYZ:
```
3
Lattice="-1.650 1.650 7.812 1.650 -1.650 7.812 1.650 1.650 -7.812" Properties=species:S:1:pos:R:3 pbc="T T T"
K 0.000 0.000 0.000
Sc 0.000 0.000 4.346
Mn 0.000 0.000 10.589
```